Density functional theory data (GGA-PBE) for Ce2MgIr3 after structural relaxation.

POSCAR file:
```
Ce2MgIr3
1.0
4.3737 0.0000 0.0000
0.0000 5.4084 0.0000
-2.1868 -2.7042 5.3174
Ce Ir Mg
2 3 1
Direct
0.3238 0.8238 0.6476
0.6762 0.1762 0.3524
0.0000 0.0000 0.0000
0.6356 0.6356 0.2712
0.3644 0.3644 0.7288
0.0000 0.5000 0.0000
```

## Properties
ρ = 11.63 g/cm³
volume = 20.96 A^3/atom
total moment = 0.00 μB per cell
E_form = -0.432 eV/atom


Density functional theory data (GGA-PBE) for Ac2TiSiPd6 after structural relaxation.

POSCAR file:
```
Ac2TiSiPd6
1.0
6.6226 0.0055 0.0154
-0.0077 6.7367 0.0537
3.2979 3.4233 4.7542
Pd Ti Si Ac
6 1 1 2
Direct
0.8177 0.8465 0.5101
0.6727 0.1829 0.1729
0.8454 0.6723 0.9726
0.1823 0.1535 0.4899
0.3273 0.8171 0.8272
0.1546 0.3277 0.0275
0.0000 0.0000 0.0000
0.5000 0.5000 0.0000
0.2951 0.7058 0.4104
0.7049 0.2942 0.5896
```

## Properties
ρ = 9.22 g/cm³
volume = 21.05 A^3/atom
formation energy (no corrections) = -0.6461 eV per atom
total moment = 0.00 μB per cell


Density functional theory data (GGA-PBE) for Pu3Sc2PaTe6 after structural relaxation.

POSCAR file:
```
Pu3Sc2PaTe6
1.0
4.2726 0.0000 0.0000
0.0000 8.7369 0.4486
-2.1363 -2.3751 9.0622
Te Pu Sc Pa
6 3 2 1
Direct
0.0076 0.2552 0.0153
0.9924 0.7448 0.9847
0.6711 0.5775 0.3422
0.3305 0.8975 0.6611
0.6695 0.1025 0.3389
0.3289 0.4225 0.6578
0.5000 0.5000 0.0000
0.1614 0.8386 0.3228
0.8386 0.1614 0.6772
0.1675 0.3400 0.3350
0.8325 0.6600 0.6650
0.5000 0.0000 0.0000
```

## Properties
ρ = 8.81 g/cm³
volume = 28.57 A^3/atom
formation energy (no corrections) = -1.0096 eV per atom
total moment = 7.27 μB per cell


Density functional theory data (GGA-PBE) for HoTlAg after structural relaxation.

POSCAR file:
```
HoTlAg
1.0
3.6648 0.0000 0.0000
0.0000 3.6648 0.0000
-1.8324 -1.8324 5.4831
Ag Ho Tl
1 1 1
Direct
0.2829 0.2829 0.5658
0.9396 0.9396 0.8792
0.6275 0.6275 0.2550
```

## Properties
ρ = 10.76 g/cm³
volume = 24.55 A^3/atom
total moment = 0.00 μB per cell
E_form = -0.159 eV/atom


Density functional theory data (GGA-PBE) for TbTmCl after structural relaxation.

POSCAR file:
```
TbTmCl
1.0
3.6442 0.0000 0.0000
-1.8221 3.1560 0.0000
0.0000 0.0000 6.9551
Tm Tb Cl
1 1 1
Direct
0.0000 0.0000 0.9760
0.6667 0.3333 0.3543
0.3333 0.6667 0.6697
```

## Properties
ρ = 7.54 g/cm³
volume = 26.66 A^3/atom
excess energy over the best structure of this formula in the dataset = 0.00 eV/f.u.
formation energy (no corrections) = -0.8932 eV per atom
total moment = 0.24 μB per cell


Density functional theory data (GGA-PBE) for Cs4RbNa2 after structural relaxation.

POSCAR file:
```
Cs4RbNa2
1.0
-2.4540 7.1576 3.8609
1.5869 -3.5339 7.5600
9.4845 5.4244 5.3173
Na Rb Cs
2 1 4
Direct
0.5822 0.5822 0.8356
0.4178 0.4178 0.1644
0.0000 0.0000 0.0000
0.7787 0.7787 0.4426
0.5000 0.0000 0.0000
0.2213 0.2213 0.5574
0.0000 0.5000 0.0000
```

## Properties
ρ = 1.44 g/cm³
volume = 108.89 A^3/atom
excess energy over the best structure of this formula in the dataset = 0.75 eV/f.u.
total moment = 0.00 μB per cell
E_form = 0.150 eV/atom


Density functional theory data (GGA-PBE) for Li2Dy3Tl4 after structural relaxation.

POSCAR file:
```
Li2Dy3Tl4
1.0
-1.9803 -3.0542 -3.3025
3.9625 -2.6054 3.6908
-8.4970 1.5781 3.6356
Dy Tl Li
3 4 2
Direct
0.6609 0.3217 0.6605
0.0000 0.0000 0.0000
0.3391 0.6783 0.3395
0.7280 0.4559 0.0838
0.9401 0.8802 0.6208
0.2720 0.5441 0.9162
0.0599 0.1198 0.3792
0.6167 0.2335 0.2903
0.3833 0.7665 0.7097
```

## Properties
ρ = 9.84 g/cm³
volume = 24.73 A^3/atom
total moment = 0.00 μB per cell
E_form = -0.291 eV/atom


Density functional theory data (GGA-PBE) for BaIrCl2 after structural relaxation.

POSCAR file:
```
BaIrCl2
1.0
-5.3901 3.2680 -1.6943
-4.9262 -0.1580 -4.2791
-2.6058 -2.5961 2.9732
Ba Cl Ir
1 2 1
Direct
0.2458 0.2458 0.2520
0.9799 0.9799 0.2280
0.7569 0.7569 0.7490
0.5174 0.5174 0.2710
```

## Properties
ρ = 5.29 g/cm³
volume = 31.44 A^3/atom
excess energy over the best structure of this formula in the dataset = 0.48 eV/f.u.
formation energy (no corrections) = -0.7002 eV per atom
total moment = 0.44 μB per cell


Density functional theory data (GGA-PBE) for LiIrCl2 after structural relaxation.

POSCAR file:
```
LiIrCl2
1.0
3.2037 0.0000 0.0000
0.0000 4.0733 0.0000
0.0000 0.0000 5.0823
Cl Li Ir
2 1 1
Direct
0.5000 0.5000 0.3749
0.0000 0.0000 0.8753
0.5000 0.5000 0.8746
0.0000 0.0000 0.3752
```

## Properties
ρ = 6.76 g/cm³
volume = 16.58 A^3/atom
excess energy over the best structure of this formula in the dataset = 0.96 eV/f.u.
formation energy (no corrections) = -0.2414 eV per atom
total moment = 0.03 μB per cell


Density functional theory data (GGA-PBE) for Pr4NdTh after structural relaxation.

POSCAR file:
```
Pr4NdTh
1.0
-0.1230 0.1952 -3.6682
7.6951 -9.4961 -0.7634
-10.1315 -2.4923 0.2070
Pr Th Nd
8 2 2
Direct
0.5006 0.1631 0.3379
0.4998 0.1646 0.8263
0.9994 0.6631 0.8379
0.9998 0.3354 0.6737
0.0002 0.6646 0.3263
0.4994 0.8369 0.6621
0.5002 0.8354 0.1737
0.0006 0.3369 0.1621
0.0000 0.0000 0.5000
0.5000 0.5000 0.0000
0.5000 0.5000 0.5000
0.0000 0.0000 0.0000
```

## Properties
ρ = 7.35 g/cm³
volume = 35.41 A^3/atom
excess energy over the best structure of this formula in the dataset = 0.00 eV/f.u.
total moment = 0.00 μB per cell
E_form = 0.041 eV/atom


Density functional theory data (GGA-PBE) for ZnHg2N after structural relaxation.

POSCAR file:
```
ZnHg2N
1.0
5.9925 0.0000 0.0000
0.0000 5.9925 0.0000
2.9963 2.9963 5.1643
Zn Hg N
2 4 2
Direct
0.0000 0.0000 0.0000
0.7500 0.2500 0.5000
0.3750 0.4550 0.7500
0.8750 0.7950 0.7500
0.5450 0.1250 0.2500
0.2050 0.6250 0.2500
0.2500 0.7500 0.5000
0.5000 0.5000 0.0000
```

## Properties
ρ = 8.61 g/cm³
volume = 23.18 A^3/atom
excess energy over the best structure of this formula in the dataset = 0.00 eV/f.u.
formation energy (no corrections) = 0.8211 eV per atom
total moment = 0.00 μB per cell


Density functional theory data (GGA-PBE) for Th6TcSn2 after structural relaxation.

POSCAR file:
```
Th6TcSn2
1.0
6.3398 0.0000 0.1441
0.0000 8.2587 0.0000
-0.6369 0.0000 10.5120
Th Sn Tc
12 4 2
Direct
0.3807 0.5263 0.7500
0.8654 0.6720 0.5390
0.1193 0.0263 0.7500
0.6196 0.1901 0.5436
0.6193 0.4737 0.2500
0.1346 0.3280 0.4610
0.8804 0.6901 0.9564
0.1196 0.3099 0.0436
0.8807 0.9737 0.2500
0.3804 0.8099 0.4564
0.3654 0.8280 0.0390
0.6346 0.1720 0.9610
0.8979 0.3884 0.7539
0.3979 0.1116 0.2539
0.6021 0.8884 0.7461
0.1021 0.6116 0.2461
0.0000 0.0000 0.5000
0.5000 0.5000 0.0000
```

## Properties
ρ = 10.41 g/cm³
volume = 30.62 A^3/atom
excess energy over the best structure of this formula in the dataset = 1.04 eV/f.u.
total moment = 0.00 μB per cell
E_form = -0.256 eV/atom


Density functional theory data (GGA-PBE) for BeReRh after structural relaxation.

POSCAR file:
```
BeReRh
1.0
2.7657 -0.0003 0.0000
-0.0007 6.8139 -0.0003
0.0000 0.0013 4.0141
Be Rh Re
2 2 2
Direct
0.9491 0.6411 0.5705
0.9492 0.8381 0.0703
0.4495 0.5492 0.0706
0.4494 0.9057 0.5705
0.4496 0.1546 0.0702
0.9497 0.2957 0.5700
```

## Properties
ρ = 13.09 g/cm³
volume = 12.61 A^3/atom
excess energy over the best structure of this formula in the dataset = 0.21 eV/f.u.
total moment = 0.00 μB per cell
E_form = -0.208 eV/atom


Density functional theory data (GGA-PBE) for Tl4InAu after structural relaxation.

POSCAR file:
```
Tl4InAu
1.0
3.4363 -0.0007 -0.0002
0.0006 3.4363 -0.0002
-0.0023 -0.0023 14.3399
Tl In Au
4 1 1
Direct
0.4999 0.4999 0.8645
0.0001 0.0001 0.3292
0.9999 0.9999 0.6708
0.5001 0.5001 0.1355
0.5000 0.5000 0.5000
0.0000 0.0000 0.0000
```

## Properties
ρ = 11.07 g/cm³
volume = 28.22 A^3/atom
excess energy over the best structure of this formula in the dataset = 0.00 eV/f.u.
total moment = 0.00 μB per cell
E_form = 0.004 eV/atom


Density functional theory data (GGA-PBE) for Tl2HgAu after structural relaxation.

POSCAR file:
```
Tl2HgAu
1.0
-7.1822 -4.2420 -1.5779
2.0145 -0.3460 -8.2396
-1.0802 -5.0191 -4.4267
Tl Au Hg
4 2 2
Direct
0.8750 0.8446 0.7500
0.3750 0.4054 0.7500
0.5946 0.1250 0.2500
0.1554 0.6250 0.2500
0.5000 0.5000 0.0000
0.2500 0.7500 0.5000
0.0000 0.0000 0.0000
0.7500 0.2500 0.5000
```

## Properties
ρ = 11.80 g/cm³
volume = 28.37 A^3/atom
excess energy over the best structure of this formula in the dataset = 0.24 eV/f.u.
total moment = 0.00 μB per cell
E_form = 0.035 eV/atom


Density functional theory data (GGA-PBE) for RbScRh2 after structural relaxation.

POSCAR file:
```
RbScRh2
1.0
-1.4812 -1.5187 -4.7791
-3.8749 -2.8165 2.0960
-7.7441 4.4142 -1.8629
Sc Rb Rh
2 2 4
Direct
0.5000 0.5000 0.0000
0.2500 0.7500 0.5000
0.0000 0.0000 0.0000
0.7500 0.2500 0.5000
0.2997 0.6250 0.2500
0.3750 0.5497 0.7500
0.4503 0.1250 0.2500
0.8750 0.7003 0.7500
```

## Properties
ρ = 4.91 g/cm³
volume = 28.44 A^3/atom
total moment = 0.00 μB per cell
E_form = 0.390 eV/atom


Density functional theory data (GGA-PBE) for La8Tb3Nd2 after structural relaxation.

POSCAR file:
```
La8Tb3Nd2
1.0
-0.3349 -4.3250 4.4552
-9.3700 -4.9278 -5.4882
8.4088 -3.1369 1.4153
La Nd Tb
8 2 3
Direct
0.2556 0.5828 0.1657
0.3438 0.4013 0.3278
0.6562 0.5987 0.6722
0.7444 0.4172 0.8343
0.6562 0.0735 0.6722
0.3438 0.9265 0.3278
0.8887 0.1381 0.2761
0.1113 0.8619 0.7239
0.6665 0.6886 0.3772
0.3335 0.3114 0.6228
0.0000 0.2670 0.0000
0.0000 0.7330 0.0000
0.5000 0.0000 0.0000
```

## Properties
ρ = 6.69 g/cm³
volume = 35.84 A^3/atom
excess energy over the best structure of this formula in the dataset = 0.00 eV/f.u.
total moment = 0.00 μB per cell
E_form = 0.139 eV/atom


Density functional theory data (GGA-PBE) for La3ErSn3 after structural relaxation.

POSCAR file:
```
La3ErSn3
1.0
-2.3193 6.0133 -4.9085
-1.4197 -7.3814 -3.0219
-7.2861 0.0024 3.4914
Er La Sn
2 6 6
Direct
0.2880 0.2880 0.0933
0.7120 0.7120 0.9067
0.8444 0.1556 0.5000
0.6273 0.6273 0.3603
0.1556 0.8444 0.5000
0.2258 0.7742 0.0000
0.3727 0.3727 0.6397
0.7742 0.2258 0.0000
0.1594 0.5020 0.3118
0.8406 0.4980 0.6882
0.9478 0.9478 0.1863
0.0522 0.0522 0.8137
0.4980 0.8406 0.6882
0.5020 0.1594 0.3118
```

## Properties
ρ = 6.42 g/cm³
volume = 34.71 A^3/atom
total moment = 0.00 μB per cell
E_form = -0.508 eV/atom


Density functional theory data (GGA-PBE) for Ho3Tm2Sc5 after structural relaxation.

POSCAR file:
```
Ho3Tm2Sc5
1.0
7.9253 2.8811 -4.4874
1.3723 8.4128 -4.5341
-2.2685 -2.8002 11.0067
Ho Tm Sc
6 4 10
Direct
0.8651 0.9781 0.0283
0.9054 0.7112 0.1265
0.1349 0.0219 0.9717
0.2276 0.5348 0.7133
0.0946 0.2888 0.8735
0.7724 0.4652 0.2867
0.5393 0.2288 0.2169
0.7137 0.9043 0.6198
0.4607 0.7712 0.7831
0.2863 0.0956 0.3802
0.4389 0.1742 0.8100
0.0178 0.1265 0.4709
0.9822 0.8735 0.5291
0.8214 0.5512 0.6723
0.2723 0.6306 0.0657
0.3647 0.7352 0.4360
0.1786 0.4488 0.3277
0.7277 0.3694 0.9343
0.6353 0.2648 0.5640
0.5611 0.8258 0.1900
```

## Properties
ρ = 6.37 g/cm³
volume = 27.55 A^3/atom
total moment = 0.00 μB per cell
E_form = 0.066 eV/atom


Density functional theory data (GGA-PBE) for NbRhI2 after structural relaxation.

POSCAR file:
```
NbRhI2
1.0
-6.0541 -0.4927 -0.6216
0.4673 -6.0820 0.2690
-3.4633 -3.0583 6.1671
I Rh Nb
4 2 2
Direct
0.8750 0.8938 0.7500
0.6438 0.1250 0.2500
0.1062 0.6250 0.2500
0.3750 0.3562 0.7500
0.0000 0.0000 0.0000
0.7500 0.2500 0.5000
0.2500 0.7500 0.5000
0.5000 0.5000 0.0000
```

## Properties
ρ = 6.28 g/cm³
volume = 29.74 A^3/atom
excess energy over the best structure of this formula in the dataset = 0.17 eV/f.u.
formation energy (no corrections) = 0.6177 eV per atom
total moment = 3.90 μB per cell


Density functional theory data (GGA-PBE) for BeMo3 after structural relaxation.

POSCAR file:
```
BeMo3
1.0
3.2018 0.0000 0.0000
0.0000 3.2018 0.0000
0.0000 0.0000 5.5812
Mo Be
3 1
Direct
0.0000 0.0000 0.5000
0.5000 0.5000 0.2235
0.5000 0.5000 0.7765
0.0000 0.0000 0.0000
```

## Properties
ρ = 8.61 g/cm³
volume = 14.30 A^3/atom
excess energy over the best structure of this formula in the dataset = 0.39 eV/f.u.
total moment = 0.00 μB per cell
E_form = 0.084 eV/atom


Density functional theory data (GGA-PBE) for Ce5PuCd after structural relaxation.

POSCAR file:
```
Ce5PuCd
1.0
-0.9428 4.3216 4.1809
-5.4951 -1.7475 -1.9481
-3.0222 -5.2901 9.2666
Ce Pu Cd
10 2 2
Direct
0.7343 0.9843 0.2500
0.3209 0.9648 0.1774
0.9073 0.1756 0.5472
0.2228 0.4546 0.9528
0.0927 0.8244 0.4528
0.3579 0.5017 0.6774
0.7772 0.5454 0.0472
0.6421 0.4983 0.3226
0.6791 0.0352 0.8226
0.2657 0.0157 0.7500
0.5000 0.0000 0.5000
0.0000 0.0000 0.0000
0.8271 0.5771 0.7500
0.1729 0.4229 0.2500
```

## Properties
ρ = 9.49 g/cm³
volume = 26.42 A^3/atom
total moment = 12.95 μB per cell
E_form = 0.085 eV/atom


Density functional theory data (GGA-PBE) for CuNiRu2Pt after structural relaxation.

POSCAR file:
```
CuNiRu2Pt
1.0
-1.2616 -0.7028 -4.1714
2.6610 -3.7305 -0.1763
-3.3664 -2.4691 1.4342
Ru Cu Pt Ni
2 1 1 1
Direct
0.0000 0.0000 0.5000
0.5000 0.0000 0.0000
0.5000 0.5000 0.5000
0.0000 0.5000 0.0000
0.0000 0.0000 0.0000
```

## Properties
ρ = 9.65 g/cm³
volume = 17.87 A^3/atom
total moment = 4.32 μB per cell
E_form = 1.402 eV/atom


Density functional theory data (GGA-PBE) for CrCo2Mo after structural relaxation.

POSCAR file:
```
CrCo2Mo
1.0
4.4631 -0.0083 -0.0105
1.4810 4.2102 0.0105
-2.9664 -2.1089 2.5830
Co Cr Mo
2 1 1
Direct
0.7499 0.2499 0.5000
0.0000 0.0000 0.0000
0.5000 0.5000 0.0000
0.2500 0.7500 0.5000
```

## Properties
ρ = 9.09 g/cm³
volume = 12.14 A^3/atom
excess energy over the best structure of this formula in the dataset = 0.41 eV/f.u.
total moment = 1.09 μB per cell
E_form = 0.138 eV/atom